Entry from the Alexandria database: a relaxed structure of MnTcTe2 (GGA-PBE).

- D(E_F) (states/eV per cell) = 2.71
- symmetry = R3m, No. 160
- distance to the lowest polymorph of the same formula (meV per atom) = 284
- uncorrected formation energy (eV/atom) = 0.2071
- energy (eV per atom) = -6.248
- total magnetic moment (μB/atom) = 0.7998

Cell and atoms, written as extended XYZ:
```
4
Lattice="1.668 0.963 9.942 -1.668 0.963 9.942 0.000 -1.926 9.942" Properties=species:S:1:pos:R:3 pbc="T T T"
Mn 0.000 0.000 0.000
Tc 0.000 0.000 7.990
Te 0.000 0.000 16.125
Te 0.000 0.000 21.761
```